No. 1
Entry from Alexandria: ScCu2Mo after structural relaxation (GGA-PBEsol).

Cell lengths 2.7386, 2.7386, 7.7131 Å; angles 90.00, 90.00, 90.02 degrees
Positions (direct):
Mo 0.0000 0.0000 0.5292
Sc 0.5000 0.5000 0.2338
Cu 0.0000 0.0000 0.9700
Cu 0.5000 0.5000 0.7670

energy above the most stable polymorph in this dataset: 0 meV/atom
E_form: 0.114 eV/atom
space group: P4mm
V: 58 Å³/cell

No. 2
Entry from Alexandria: Sc2CuMo after structural relaxation (GGA-PBEsol).

Cell lengths 4.5698, 4.5698, 4.5698 Å; angles 60.00, 60.00, 60.00 degrees
Positions (direct):
Cu 0.5000 0.5000 0.5000
Sc 0.2500 0.2500 0.2500
Sc 0.7500 0.7500 0.7500
Mo 0.0000 0.0000 0.0000

energy above the most stable polymorph in this dataset: 0 meV/atom
E_form: 0.091 eV/atom
space group: Fm-3m
V: 67 Å³/cell

No. 3
Entry from Alexandria: Sc2CuMo after structural relaxation (GGA-PBEsol).

Cell lengths 3.0257, 3.0257, 9.0128 Å; angles 80.34, 80.34, 60.00 degrees
Positions (direct):
Sc 0.2481 0.2481 0.2557
Sc 0.7519 0.7519 0.7443
Cu 0.5000 0.5000 0.5000
Mo 0.0000 0.0000 0.0000

energy above the most stable polymorph in this dataset: 163 meV/atom
E_form: 0.254 eV/atom
space group: R-3m
V: 70 Å³/cell

No. 4
Entry from Alexandria: ScCu2Mo after structural relaxation (GGA-PBEsol).

Cell lengths 2.7156, 4.7148, 5.1349 Å; angles 113.42, 105.33, 90.00 degrees
Positions (direct):
Cu 0.0188 0.9568 0.0376
Cu 0.7350 0.3034 0.4699
Sc 0.2590 0.8096 0.5180
Mo 0.4872 0.4301 0.9744

energy above the most stable polymorph in this dataset: 29 meV/atom
E_form: 0.143 eV/atom
space group: Cm
V: 58 Å³/cell